# GGA-PBE Ce2Si3Au5, relaxed
data_Ce2Si3Au5
_cell_length_a 10.1141
_cell_length_b 12.8166
_cell_length_c 6.2189
_cell_angle_alpha 90.00
_cell_angle_beta 90.00
_cell_angle_gamma 90.00
_symmetry_space_group_name_H-M 'I b a m'
_symmetry_Int_Tables_number 72
_symmetry_space_group_name_Hall '-I 2 2c'
loop_
_atom_site_label
_atom_site_fract_x
_atom_site_fract_y
_atom_site_fract_z
_atom_site_occupancy
Ce1 0.2399 0.1282 0.0000 1
Si1 0.0000 0.0000 0.2500 1
Si2 0.1367 0.3798 0.0000 1
Au1 0.0000 0.2687 0.2500 1
Au2 0.0000 0.5000 0.2500 1
Au3 0.1261 0.1146 0.5000 1
# **Energy relative to the elements, uncorrected**: -0.54 eV per atom
# **Total DFT energy (no corrections)**: -49.95 eV per formula unit

# GGA-PBE CeSi2Au, relaxed
data_CeSi2Au
_cell_length_a 5.0604
_cell_length_b 5.0604
_cell_length_c 10.7208
_cell_angle_alpha 90.00
_cell_angle_beta 90.00
_cell_angle_gamma 120.00
_symmetry_space_group_name_H-M 'R -3 m'
_symmetry_Int_Tables_number 166
_symmetry_space_group_name_Hall '-R 3 2"'
loop_
_atom_site_label
_atom_site_fract_x
_atom_site_fract_y
_atom_site_fract_z
_atom_site_occupancy
Ce1 0.0000 0.0000 0.0000 1
Si1 0.0000 0.0000 0.2655 1
Au1 0.0000 0.0000 0.5000 1
# **Energy relative to the elements, uncorrected**: -0.19 eV per atom
# **Total DFT energy (no corrections)**: -20.82 eV per formula unit